(1)
Computed, not measured: a geometry-optimized MgHgO2 structure at the PBE level of DFT.

Cell: 3.328 3.328 4.684 Å, 90.00 90.00 90.00°
Fractional coordinates of all 4 atoms:
Mg 0.000 0.000 0.500
Hg 0.500 0.500 0.000
O 0.500 0.500 0.500
O 0.000 0.000 0.000

Summary:
For the volume, the calculation gives 12.97 Å³/atom. The uncorrected formation energy comes out at -1.181 eV/atom. Its space group is P4/mmm. The density of states at the Fermi level comes out at 0.5 states/eV/cell. The total energy comes out at -4.1339 eV per atom.

=====

(2)
Computed, not measured: a geometry-optimized Mg2HgO2 structure at the PBE level of DFT.

Cell: 6.877 6.877 2.907 Å, 90.00 90.00 90.00°
Fractional coordinates of all 10 atoms:
Mg 0.874 0.626 0.000
Mg 0.374 0.874 0.000
Hg 0.000 0.000 0.000
O 0.870 0.370 0.500
O 0.370 0.130 0.500
O 0.130 0.630 0.500
Hg 0.500 0.500 0.000
Mg 0.126 0.374 0.000
O 0.630 0.870 0.500
Mg 0.626 0.126 0.000

Summary:
For the volume, the calculation gives 13.75 Å³/atom. As for the energy above the lowest structure with this stoichiometry: 0.760 eV/atom. The uncorrected formation energy comes out at -1.077 eV/atom. Its space group is P4/mbm. The density of states at the Fermi level comes out at 0.0 states/eV/cell. The total energy comes out at -3.7587 eV per atom.

=====

(3)
Computed, not measured: a geometry-optimized MgHgO structure at the PBE level of DFT.

Cell: 6.523 2.883 2.884 Å, 90.00 90.00 90.00°
Fractional coordinates of all 3 atoms:
Mg 0.000 0.500 0.597
Hg 0.500 0.000 0.106
O 0.000 0.000 0.097

Summary:
For the volume, the calculation gives 18.08 Å³/atom. As for the energy above the lowest structure with this stoichiometry: 0.041 eV/atom. The uncorrected formation energy comes out at -1.500 eV/atom. Its space group is Pmm2. The density of states at the Fermi level comes out at 0.3 states/eV/cell. The total energy comes out at -3.7852 eV per atom.

=====

(4)
Computed, not measured: a geometry-optimized MgHg3O structure at the PBE level of DFT.

Cell: 5.508 5.508 5.508 Å, 90.00 90.00 90.00°
Last column: magnetic moment on the atom in μB.
Fractional coordinates of all 5 atoms:
O 0.500 0.500 0.500  -1.05
Hg 0.000 0.000 0.500  0.01
Mg 0.000 0.000 0.000  0.01
Hg 0.500 0.000 0.000  0.00
Hg 0.000 0.500 0.000  0.01

Summary:
For the volume, the calculation gives 33.42 Å³/atom. As for the energy above the lowest structure with this stoichiometry: 0.283 eV/atom. The uncorrected formation energy comes out at 0.492 eV/atom. Its space group is Pm-3m. The density of states at the Fermi level comes out at 8.5 states/eV/cell. The total energy comes out at -0.9998 eV per atom.

=====

(5)
Computed, not measured: a geometry-optimized MgHgO2 structure at the PBE level of DFT.

Cell: 11.073 11.073 3.254 Å, 90.00 90.00 164.35°
Last column: magnetic moment on the atom in μB.
Fractional coordinates of all 8 atoms:
Mg 0.306 0.694 0.250  0.00
Hg 0.947 0.053 0.750  0.00
O 0.791 0.209 0.750  0.32
Mg 0.694 0.306 0.750  0.00
Hg 0.053 0.947 0.250  0.00
O 0.880 0.120 0.250  0.11
O 0.209 0.791 0.250  0.32
O 0.120 0.880 0.750  0.11

Summary:
For the volume, the calculation gives 13.45 Å³/atom. The uncorrected formation energy comes out at -1.057 eV/atom. Its space group is Cmcm. The density of states at the Fermi level comes out at 4.5 states/eV/cell. The total energy comes out at -4.0099 eV per atom.

=====

(6)
Computed, not measured: a geometry-optimized Mg3HgO3 structure at the PBE level of DFT.

Cell: 5.886 5.886 9.173 Å, 71.29 71.29 60.00°
Fractional coordinates of all 14 atoms:
Hg 0.333 0.333 0.000
Mg 0.792 0.459 0.624
O 0.544 0.210 0.370
Mg 0.459 0.125 0.624
Mg 0.875 0.208 0.376
O 0.790 0.123 0.630
O 0.877 0.544 0.370
O 0.123 0.456 0.630
Mg 0.125 0.792 0.624
O 0.456 0.790 0.630
Mg 0.541 0.875 0.376
O 0.210 0.877 0.370
Mg 0.208 0.541 0.376
Hg 0.667 0.667 0.000

Summary:
For the volume, the calculation gives 18.26 Å³/atom. The uncorrected formation energy comes out at -2.089 eV/atom. Its space group is R-3. The density of states at the Fermi level comes out at 0.0 states/eV/cell. The total energy comes out at -4.9408 eV per atom.